# K2CaAs

Crystalline K2CaAs at its relaxed geometry (PBE-GGA, the Alexandria database).

As for the total energy: -10.53 eV for the cell shown. Its formation enthalpy at 0 K is -421 meV/atom.

The space group is P4mm (No. 99) and the conventional cell measures 4.126, 4.126 and 10.056 Å, with angles of 90.00, 90.00 and 90.00 degrees. Symmetry generates all atoms from K at (0.000, 0.000, 0.000), K at (0.500, 0.500, 0.380), Ca at (0.500, 0.500, 0.704) and As at (0.000, 0.000, 0.650).

=====

# K2CaAs

Crystalline K2CaAs at its relaxed geometry (PBE-GGA, the Alexandria database).

As for the total energy: -10.74 eV for the cell shown. Its formation enthalpy at 0 K is -475 meV/atom.

The space group is Pm (No. 6) and the conventional cell measures 4.343, 4.087 and 10.241 Å, with angles of 90.00, 102.01 and 90.00 degrees. Symmetry generates all atoms from K at (0.000, 0.000, 0.000), K at (0.301, 0.500, 0.614), Ca at (0.651, 0.500, 0.305) and As at (0.165, 0.000, 0.333).

=====

# K2CaAs

Crystalline K2CaAs at its relaxed geometry (PBE-GGA, the Alexandria database).

As for the total energy: -8.74 eV for the cell shown. Its formation enthalpy at 0 K is 27 meV/atom.

The space group is P4/mmm (No. 123) and the conventional cell measures 3.843, 3.843 and 11.192 Å, with angles of 90.00, 90.00 and 90.00 degrees. Symmetry generates all atoms from K at (0.000, 0.000, 0.174), Ca at (0.500, 0.500, 0.500) and As at (0.500, 0.500, 0.000).

=====

# KCaAs3

Crystalline KCaAs3 at its relaxed geometry (PBE-GGA, the Alexandria database).

As for the total energy: -16.05 eV for the cell shown. As for the polymorph energy (0 for the lowest one): 0 meV/atom. Its formation enthalpy at 0 K is 200 meV/atom.

The space group is Pm-3m (No. 221) and the conventional cell measures 5.478, 5.478 and 5.478 Å, with angles of 90.00, 90.00 and 90.00 degrees. Symmetry generates all atoms from K at (0.000, 0.000, 0.000), Ca at (0.500, 0.500, 0.500) and As at (0.000, 0.500, 0.500).

=====

# K2CaAs2

Crystalline K2CaAs2 at its relaxed geometry (PBE-GGA, the Alexandria database).

As for the total energy: -30.50 eV for the cell shown. As for the polymorph energy (0 for the lowest one): 175 meV/atom. Its formation enthalpy at 0 K is -351 meV/atom.

The space group is I4/mmm (No. 139) and the conventional cell measures 4.544, 4.544 and 14.378 Å, with angles of 90.00, 90.00 and 90.00 degrees. Symmetry generates all atoms from K at (0.000, 0.500, 0.250), Ca at (0.000, 0.000, 0.000) and As at (0.000, 0.000, 0.414).

=====

# K2CaAs

Crystalline K2CaAs at its relaxed geometry (PBE-GGA, the Alexandria database).

As for the total energy: -21.37 eV for the cell shown. Its formation enthalpy at 0 K is -460 meV/atom.

The space group is C2/m (No. 12) and the conventional cell measures 20.357, 3.960 and 4.457 Å, with angles of 90.00, 102.56 and 90.00 degrees. Symmetry generates all atoms from K at (0.152, 0.000, 0.150), Ca at (0.000, 0.000, 0.500) and As at (0.000, 0.500, 0.000).

=====

# K2CaAs

Crystalline K2CaAs at its relaxed geometry (PBE-GGA, the Alexandria database).

As for the total energy: -21.50 eV for the cell shown. Its formation enthalpy at 0 K is -476 meV/atom.

The space group is Cm (No. 8) and the conventional cell measures 8.504, 4.925 and 9.524 Å, with angles of 90.00, 107.42 and 90.00 degrees. Symmetry generates all atoms from K at (0.000, 0.000, 0.000), K at (0.190, 0.000, 0.562), Ca at (0.430, 0.000, 0.283) and As at (0.275, 0.500, 0.316).

=====

# KCa4As

Crystalline KCa4As at its relaxed geometry (PBE-GGA, the Alexandria database).

As for the total energy: -48.65 eV for the cell shown. Its formation enthalpy at 0 K is 265 meV/atom.

The space group is F-43m (No. 216) and the conventional cell measures 9.895, 9.895 and 9.895 Å, with angles of 90.00, 90.00 and 90.00 degrees. Symmetry generates all atoms from K at (0.000, 0.000, 0.000), Ca at (0.123, 0.123, 0.377) and As at (0.250, 0.250, 0.750).